# Pm2MgZn4Ag3

A relaxed Pm2MgZn4Ag3 crystal (GGA-PBE, Alexandria).

a b c (Å): 4.143 4.143 12.137
angles (deg): 90.00 90.00 90.00
Space group P-4m2 (No. 115)
Symmetry-distinct sites (fractional):
1 Pm 0.000 0.500 0.246 [2 per cell]
2 Mg 0.000 0.000 0.500 [1 per cell]
3 Zn 0.000 0.000 0.000 [1 per cell]
4 Zn 0.000 0.500 0.647 [2 per cell]
5 Zn 0.500 0.500 0.000 [1 per cell]
6 Ag 0.000 0.500 0.861 [2 per cell]
7 Ag 0.500 0.500 0.500 [1 per cell]

Formation energy in eV/atom: -0.2385
Fermi-level density of states in states/eV per cell: 4.81
Spin magnetization in Bohr magnetons per cell: 0.00

# PaTlHgO4

A relaxed PaTlHgO4 crystal (GGA-PBE, Alexandria).

a b c (Å): 6.927 7.062 11.299
angles (deg): 90.00 90.00 90.00
Space group Imma (No. 74)
Symmetry-distinct sites (fractional):
1 Pa 0.000 0.000 0.000 [4 per cell]
2 Tl 0.000 0.250 0.340 [4 per cell]
3 Hg 0.250 0.250 0.750 [4 per cell]
4 O 0.000 0.043 0.806 [8 per cell]
5 O 0.189 0.250 0.012 [8 per cell]

Formation energy (no corrections) in eV per formula unit: -13.56
Spin magnetization in Bohr magnetons per cell: 0.00

# PmNd2Sm

A relaxed PmNd2Sm crystal (GGA-PBE, Alexandria).

a b c (Å): 5.707 3.590 13.547
angles (deg): 90.00 90.00 90.00
Space group Amm2 (No. 38)
Symmetry-distinct sites (fractional):
1 Pm 0.000 0.000 0.000 [2 per cell]
2 Nd 0.000 0.000 0.257 [2 per cell]
3 Nd 0.500 0.000 0.383 [2 per cell]
4 Sm 0.500 0.000 0.640 [2 per cell]

ΔE to the lowest computed polymorph in kJ/mol of formula units: 14.2
Formation energy in eV/atom: 0.0484
Fermi-level density of states in states/eV per cell: 11.11
Spin magnetization in Bohr magnetons per cell: 0.00

# CoTcAu

A relaxed CoTcAu crystal (GGA-PBE, Alexandria).

a b c (Å): 2.734 3.664 8.607
angles (deg): 90.00 90.00 90.00
Space group Imm2 (No. 44)
Symmetry-distinct sites (fractional):
1 Co 0.000 0.000 0.000 [2 per cell]
2 Tc 0.000 0.000 0.627 [2 per cell]
3 Au 0.000 0.000 0.317 [2 per cell]

ΔE to the lowest computed polymorph in kJ/mol of formula units: 34.7
Formation energy in eV/atom: 0.3148
Fermi-level density of states in states/eV per cell: 6.13
Spin magnetization in Bohr magnetons per cell: 0.00

# CsNdSm2

A relaxed CsNdSm2 crystal (GGA-PBE, Alexandria).

a b c (Å): 3.7265 3.7265 40.2141
angles (deg): 90.00 90.00 120.00
Space group R-3m (No. 166, hexagonal axes)
Symmetry-distinct sites (fractional):
1 Cs 0.0000 0.0000 0.0000 [3 per cell]
2 Nd 0.0000 0.0000 0.5000 [3 per cell]
3 Sm 0.0000 0.0000 0.0946 [6 per cell]

Formation energy in eV/atom: 0.2931
Fermi-level density of states in states/eV per cell: 16.19
Spin magnetization in Bohr magnetons per cell: 0.00

# CeNpBi6

A relaxed CeNpBi6 crystal (GGA-PBE, Alexandria).

a b c (Å): 4.961 4.961 9.817
angles (deg): 90.00 90.00 90.00
Space group P4/mmm (No. 123)
Symmetry-distinct sites (fractional):
1 Ce 0.000 0.000 0.000 [1 per cell]
2 Np 0.000 0.000 0.500 [1 per cell]
3 Bi 0.000 0.500 0.254 [4 per cell]
4 Bi 0.500 0.500 0.000 [1 per cell]
5 Bi 0.500 0.500 0.500 [1 per cell]

Formation energy in eV/atom: -0.2336
Fermi-level density of states in states/eV per cell: 16.38
Spin magnetization in Bohr magnetons per cell: 3.30

# AlBH2

A relaxed AlBH2 crystal (GGA-PBE, Alexandria).

a b c (Å): 3.643 4.449 4.969
angles (deg): 91.27 108.30 107.49
Space group P-1 (No. 2)
Symmetry-distinct sites (fractional):
1 Al 0.137 0.463 0.270 [2 per cell]
2 B 0.444 0.865 0.621 [2 per cell]
3 H 0.240 0.952 0.743 [2 per cell]
4 H 0.254 0.097 0.163 [2 per cell]

ΔE to the lowest computed polymorph in kJ/mol of formula units: 14.1
Fermi-level density of states in states/eV per cell: 0.52
Spin magnetization in Bohr magnetons per cell: 0.00

# TaSb2Ru

A relaxed TaSb2Ru crystal (GGA-PBE, Alexandria).

a b c (Å): 6.694 6.694 6.694
angles (deg): 90.00 90.00 90.00
Space group Fm-3m (No. 225)
Symmetry-distinct sites (fractional):
1 Ta 0.000 0.000 0.000 [4 per cell]
2 Sb 0.250 0.250 0.250 [8 per cell]
3 Ru 0.000 0.000 0.500 [4 per cell]

ΔE to the lowest computed polymorph in kJ/mol of formula units: 106.9
Formation energy (no corrections) in eV per formula unit: 0.80
Fermi-level density of states in states/eV per cell: 13.38
Spin magnetization in Bohr magnetons per cell: 0.00

# Be6IrRh5

A relaxed Be6IrRh5 crystal (GGA-PBE, Alexandria).

a b c (Å): 3.936 11.856 5.576
angles (deg): 90.00 90.00 90.00
Space group Cmmm (No. 65)
Symmetry-distinct sites (fractional):
1 Be 0.000 0.000 0.250 [4 per cell]
2 Be 0.000 0.334 0.248 [8 per cell]
3 Ir 0.000 0.500 0.000 [2 per cell]
4 Rh 0.000 0.167 0.000 [4 per cell]
5 Rh 0.000 0.167 0.500 [4 per cell]
6 Rh 0.000 0.500 0.500 [2 per cell]

Formation energy in eV/atom: -0.6066
Fermi-level density of states in states/eV per cell: 19.59
Spin magnetization in Bohr magnetons per cell: 0.00

# Rb2HoNpTe4

A relaxed Rb2HoNpTe4 crystal (GGA-PBE, Alexandria).

a b c (Å): 7.925 4.555 8.918
angles (deg): 90.00 107.15 90.00
Space group P2/m (No. 10)
Symmetry-distinct sites (fractional):
1 Rb 0.000 0.000 0.000 [1 per cell]
2 Rb 0.500 0.500 0.000 [1 per cell]
3 Ho 0.000 0.500 0.500 [1 per cell]
4 Np 0.500 0.000 0.500 [1 per cell]
5 Te 0.228 0.000 0.699 [2 per cell]
6 Te 0.262 0.500 0.300 [2 per cell]

Formation energy (no corrections) in eV per formula unit: -8.96
Fermi-level density of states in states/eV per cell: 6.43
Spin magnetization in Bohr magnetons per cell: 4.00